a) Ho3Zn2Os | GGA-PBE | relaxed

abc: 3.478 3.478 10.662
angles: 90.00 90.00 90.00
Fractional positions:
Ho (0.000, 0.000, 0.000)
Ho (0.000, 0.000, 0.347)
Ho (0.000, 0.000, 0.653)
Zn (0.500, 0.500, 0.168)
Zn (0.500, 0.500, 0.832)
Os (0.500, 0.500, 0.500)

Computed properties:
space group = P4/mmm
total magnetic moment = 0.0 μB per formula unit

---

b) Ho3Zn2Os | GGA-PBE | relaxed

abc: 4.910 7.124 7.752
angles: 90.00 108.39 90.00
Fractional positions:
Ho (0.000, 0.238, 0.000)
Ho (0.000, 0.762, 0.000)
Ho (0.329, 0.233, 0.659)
Ho (0.329, 0.767, 0.659)
Ho (0.671, 0.233, 0.341)
Ho (0.671, 0.767, 0.341)
Zn (0.167, 0.500, 0.333)
Zn (0.500, 0.000, 0.000)
Zn (0.500, 0.500, 0.000)
Zn (0.833, 0.500, 0.667)
Os (0.164, 0.000, 0.327)
Os (0.836, 0.000, 0.673)

Computed properties:
space group = P2/m
total magnetic moment = 0.0 μB per formula unit

---

Most stable: b) (next structure +2.1 kJ/mol of atoms)